Density functional theory data (PBE) for a relaxed structure of AcYAlAu.

Summary:
The energy of formation from the pure elements is -0.457 eV/atom. Its space group is F-43m.

abc: 5.390 5.390 5.390
angles: 60.00 60.00 60.00
Fractional coordinates of all 4 atoms:
Ac (0.750, 0.750, 0.750)
Au (0.500, 0.500, 0.500)
Al (0.000, 0.000, 0.000)
Y (0.250, 0.250, 0.250)

---

Density functional theory data (PBE) for a relaxed structure of AcYAl2Au2.

Summary:
The energy of formation from the pure elements is -0.732 eV/atom. Its space group is P-3m1.

abc: 4.615 4.615 7.788
angles: 90.00 90.00 120.00
Fractional coordinates of all 6 atoms:
Al (0.333, 0.667, 0.704)
Al (0.667, 0.333, 0.296)
Au (0.667, 0.333, 0.708)
Au (0.333, 0.667, 0.292)
Ac (0.000, 0.000, 0.000)
Y (0.000, 0.000, 0.500)

---

Density functional theory data (PBE) for a relaxed structure of Ac2Al3ZnAu4.

Summary:
The energy of formation from the pure elements is -0.691 eV/atom. Its space group is P-4m2.

abc: 4.592 4.592 10.504
angles: 90.00 90.00 90.00
Fractional coordinates of all 10 atoms:
Ac (0.000, 0.500, 0.749)
Ac (0.500, 0.000, 0.251)
Au (0.000, 0.000, 0.000)
Au (0.000, 0.500, 0.370)
Au (0.500, 0.000, 0.630)
Au (0.500, 0.500, 0.000)
Al (0.500, 0.000, 0.875)
Al (0.000, 0.000, 0.500)
Al (0.000, 0.500, 0.125)
Zn (0.500, 0.500, 0.500)

---

N(E_F) / states/eV per atom: 0.9161; 0.8192; 0.5574
Mass density / g/cm3: 8.10; 8.83; 10.41
Total DFT energy (no corrections) / eV/atom: -4.85; -4.83; -4.07